Material: VCr2SbPd
Method: DFT, PBE
State: relaxed

* total magnetic moment: 5.07 μB/f.u.
* formation energy without anion corrections: 911 meV/atom
* E_tot: -6.625 eV per atom

Cell lengths 4.3967, 4.3967, 4.9778 Å; angles 90.00, 90.00, 90.00 degrees
Last column: nearest neighbours and their distance in Å.
Space group P4/mmm (No. 123)
Symmetry-distinct sites (fractional):
V 0.0000 0.0000 0.0000  4 Cr 2.20
Cr 0.0000 0.5000 0.0000  2 V 2.20
Sb 0.0000 0.0000 0.5000  2 V 2.49
Pd 0.5000 0.5000 0.5000  4 Sb 3.11, 8 Cr 3.32